VASP calculation (GGA-PBE) on an optimized crystal structure of Nd12ZnCo5.

Unit cell a=8.549 b=8.549 c=8.549 alpha=108.44 beta=110.75 gamma=109.22
Sites, in units of the cell vectors:
1 Co 0.500 0.113 0.613
2 Co 0.000 0.000 0.000
3 Co 0.500 0.887 0.387
4 Co 0.623 0.623 0.000
5 Co 0.377 0.377 0.000
6 Nd 0.304 0.682 0.986
7 Nd 0.696 0.682 0.377
8 Nd 0.696 0.318 0.014
9 Nd 0.190 0.988 0.798
10 Nd 0.810 0.607 0.798
11 Nd 0.810 0.012 0.202
12 Nd 0.519 0.816 0.703
13 Nd 0.304 0.318 0.623
14 Nd 0.114 0.816 0.297
15 Nd 0.190 0.393 0.202
16 Nd 0.886 0.184 0.703
17 Nd 0.481 0.184 0.297
18 Zn 0.000 0.500 0.500

Results
Calculated volume = 26.7 Å³/atom
Energy of formation = -144.6 kJ/mol of formula units
SG = Immm (71)

***

VASP calculation (GGA-PBE) on an optimized crystal structure of NdZn9Co2.

Unit cell a=6.803 b=8.093 c=8.093 alpha=79.82 beta=65.15 gamma=65.15
Sites, in units of the cell vectors:
1 Zn 0.000 0.000 0.000
2 Zn 0.442 0.826 0.418
3 Zn 0.750 0.500 0.500
4 Zn 0.018 0.674 0.918
5 Zn 0.686 0.582 0.174
6 Zn 0.686 0.174 0.582
7 Zn 0.064 0.918 0.326
8 Zn 0.610 0.082 0.326
9 Zn 0.018 0.918 0.674
10 Zn 0.442 0.418 0.826
11 Zn 0.064 0.326 0.918
12 Zn 0.732 0.826 0.582
13 Zn 0.308 0.674 0.082
14 Zn 0.140 0.174 0.418
15 Zn 0.732 0.582 0.826
16 Zn 0.140 0.418 0.174
17 Zn 0.308 0.082 0.674
18 Zn 0.610 0.326 0.082
19 Co 0.875 0.250 0.750
20 Co 0.875 0.750 0.250
21 Co 0.875 0.250 0.250
22 Co 0.375 0.750 0.750
23 Nd 0.250 0.500 0.500
24 Nd 0.500 0.000 0.000

Results
Calculated volume = 15.3 Å³/atom
Energy of formation = -210.1 kJ/mol of formula units
SG = I4_1/amd (141)
Excess energy over the best structure of this formula in the dataset = 0.0 meV per atom

***

VASP calculation (GGA-PBE) on an optimized crystal structure of NdZrCo4.

Unit cell a=5.036 b=5.036 c=5.036 alpha=60.00 beta=60.00 gamma=60.00
Site moments in Bohr magnetons follow the coordinates.
Sites, in units of the cell vectors:
1 Nd 0.250 0.250 0.250  -0.17
2 Zr 0.000 0.000 0.000  -0.34
3 Co 0.626 0.626 0.626  0.96
4 Co 0.122 0.626 0.626  0.96
5 Co 0.626 0.626 0.122  0.96
6 Co 0.626 0.122 0.626  0.96

Results
Calculated volume = 15.1 Å³/atom
Energy of formation = -58.5 kJ/mol of formula units
SG = F-43m (216)